Entry from the Alexandria database: a geometry-optimized PmAlPdAu structure (PBE).

POSCAR file:
```
PmAlPdAu
1.0
4.850 0.000 0.000
2.425 4.201 0.000
2.425 1.400 3.960
Au Al Pm Pd
1 1 1 1
Cartesian
2.425 1.400 0.990
0.000 0.000 0.000
4.850 2.800 1.980
7.276 4.201 2.970
```

Results
Energy of formation from the pure elements: -0.6716 eV per atom
E_tot: -4.912 eV per atom
M_tot: 0.000 μB per cell
Symmetry: F-43m (216)

***

Entry from the Alexandria database: a geometry-optimized PuMg5 structure (PBE).

POSCAR file:
```
PuMg5
1.0
3.134 0.000 0.000
0.000 5.512 0.000
0.000 -2.756 8.439
Mg Pu
5 1
Cartesian
1.567 0.000 3.063
0.000 0.000 5.829
1.567 2.756 0.000
0.000 2.756 2.610
1.567 2.756 5.376
0.000 0.000 0.000
```

Results
Energy of formation from the pure elements: 0.1113 eV per atom
E_tot: -3.606 eV per atom
M_tot: 6.340 μB per cell
Symmetry: Cmmm (65)

***

Entry from the Alexandria database: a geometry-optimized Ac6PdRu2Br3 structure (PBE).

POSCAR file:
```
Ac6PdRu2Br3
1.0
-3.432 0.640 -6.647
5.992 -4.466 0.718
-5.838 -5.110 3.927
Ac Br Pd Ru
6 3 1 2
Cartesian
-4.378 -6.136 -2.635
-1.109 -7.908 -0.080
0.694 -3.747 -3.486
-2.169 -1.028 -1.921
-3.972 -5.189 1.484
1.101 -2.800 0.634
1.471 -6.153 1.429
-4.748 -2.783 -3.431
-1.639 -4.468 -1.001
0.000 0.000 0.000
-0.289 -1.063 -4.190
2.849 -2.763 -1.738
```

Results
E_tot: -5.425 eV per atom
M_tot: 0.000 μB per cell
Symmetry: C2/m (12)
Raw formation energy: -974 meV per atom

***

Entry from the Alexandria database: a geometry-optimized Pr4CdAg2Pt structure (PBE).

POSCAR file:
```
Pr4CdAg2Pt
1.0
-4.932 -1.239 -1.612
-1.992 -4.848 0.995
-5.483 0.820 7.317
Cd Pr Ag Pt
1 4 2 1
Cartesian
0.000 0.000 0.000
-4.229 -0.306 4.345
-7.311 -1.640 5.975
-5.096 -3.628 0.725
-8.179 -4.962 2.355
-9.406 -3.861 5.262
-3.002 -1.407 1.438
-6.204 -2.634 3.350
```

Results
Energy of formation from the pure elements: -0.4762 eV per atom
E_tot: -4.448 eV per atom
M_tot: 0.000 μB per cell
Symmetry: R-3m (166)

***

Question: What is the formula in the second record?
Answer: PuMg5

***

Question: Which value of M_tot does entry 4 give?
Answer: 0.000 μB per cell

***

Question: Number 1 is which compound?
Answer: PmAlPdAu

***

Question: E_tot of number 3 (Ac6PdRu2Br3)?
Answer: -5.425 eV per atom